# 1
The following is a PBE calculation of crystalline Nd2Al5Ag4 at its relaxed geometry, from the Alexandria database.

CIF file:
```
data_Nd2Al5Ag4
_cell_length_a 5.515
_cell_length_b 7.007
_cell_length_c 7.007
_cell_angle_alpha 83.40
_cell_angle_beta 66.83
_cell_angle_gamma 66.83
_symmetry_space_group_name_H-M 'P 1'
_symmetry_Int_Tables_number 1
loop_
_symmetry_equiv_pos_as_xyz
'x,y,z'
loop_
_atom_site_label
_atom_site_type_symbol
_atom_site_fract_x
_atom_site_fract_y
_atom_site_fract_z
_atom_site_occupancy
Al1 Al 0.247 0.767 0.233 1
Ag1 Ag 0.745 0.918 0.591 1
Nd1 Nd 0.726 0.274 0.274 1
Ag2 Ag 0.255 0.409 0.082 1
Nd2 Nd 0.274 0.726 0.726 1
Al2 Al 0.753 0.233 0.767 1
Al3 Al 0.753 0.767 0.233 1
Al4 Al 0.247 0.233 0.767 1
Ag3 Ag 0.745 0.591 0.918 1
Ag4 Ag 0.255 0.082 0.409 1
Al5 Al 0.000 0.500 0.500 1
```

Values from the calculation:
Symmetry = Immm, No. 71
Total magnetization = 0.00 μB per formula unit
Energy of formation from the pure elements = -3.4 eV/f.u.
Uncorrected energy = -3.91 eV/atom
V = 228.6 Å³/cell

***

# 2
The following is a PBE calculation of crystalline MnHPtS at its relaxed geometry, from the Alexandria database.

CIF file:
```
data_MnHPtS
_cell_length_a 5.305
_cell_length_b 2.942
_cell_length_c 7.161
_cell_angle_alpha 90.00
_cell_angle_beta 121.10
_cell_angle_gamma 90.00
_symmetry_space_group_name_H-M 'P 1'
_symmetry_Int_Tables_number 1
loop_
_symmetry_equiv_pos_as_xyz
'x,y,z'
loop_
_atom_site_label
_atom_site_type_symbol
_atom_site_fract_x
_atom_site_fract_y
_atom_site_fract_z
_atom_site_occupancy
Mn1 Mn 0.595 0.500 0.380 1
H1 H 0.351 0.500 0.773 1
Pt1 Pt 0.178 0.500 0.498 1
H2 H 0.351 0.000 0.273 1
S1 S 0.774 0.500 0.151 1
S2 S 0.774 0.000 0.651 1
Pt2 Pt 0.178 0.000 0.998 1
Mn2 Mn 0.595 0.000 0.880 1
```

Values from the calculation:
Symmetry = Cm, No. 8
Total magnetization = 1.81 μB per formula unit
Uncorrected energy = -5.71 eV/atom
V = 95.7 Å³/cell

***

# 3
The following is a PBE calculation of crystalline YPd3Au3 at its relaxed geometry, from the Alexandria database.

CIF file:
```
data_YPd3Au3
_cell_length_a 4.820
_cell_length_b 7.778
_cell_length_c 7.778
_cell_angle_alpha 120.00
_cell_angle_beta 90.00
_cell_angle_gamma 90.00
_symmetry_space_group_name_H-M 'P 1'
_symmetry_Int_Tables_number 1
loop_
_symmetry_equiv_pos_as_xyz
'x,y,z'
loop_
_atom_site_label
_atom_site_type_symbol
_atom_site_fract_x
_atom_site_fract_y
_atom_site_fract_z
_atom_site_occupancy
Au1 Au 0.250 0.089 0.632 1
Au2 Au 0.250 0.543 0.911 1
Y1 Y 0.750 0.333 0.667 1
Au3 Au 0.250 0.368 0.457 1
Pd1 Pd 0.250 0.960 0.194 1
Au4 Au 0.750 0.632 0.543 1
Pd2 Pd 0.750 0.766 0.960 1
Pd3 Pd 0.750 0.040 0.806 1
Y2 Y 0.250 0.667 0.333 1
Au5 Au 0.750 0.457 0.089 1
Pd4 Pd 0.250 0.806 0.766 1
Pd5 Pd 0.250 0.234 0.040 1
Au6 Au 0.750 0.911 0.368 1
Pd6 Pd 0.750 0.194 0.234 1
```

Values from the calculation:
Symmetry = P6_3/m, No. 176
Total magnetization = 0.00 μB per formula unit
Energy of formation from the pure elements = -3.3 eV/f.u.
Uncorrected energy = -5.03 eV/atom
V = 252.5 Å³/cell

***

# 4
The following is a PBE calculation of crystalline KS2Br8 at its relaxed geometry, from the Alexandria database.

CIF file:
```
data_KS2Br8
_cell_length_a 6.858
_cell_length_b 10.113
_cell_length_c 10.113
_cell_angle_alpha 43.82
_cell_angle_beta 78.81
_cell_angle_gamma 78.81
_symmetry_space_group_name_H-M 'P 1'
_symmetry_Int_Tables_number 1
loop_
_symmetry_equiv_pos_as_xyz
'x,y,z'
loop_
_atom_site_label
_atom_site_type_symbol
_atom_site_fract_x
_atom_site_fract_y
_atom_site_fract_z
_atom_site_occupancy
K1 K 0.000 0.000 0.000 1
S1 S 0.325 0.149 0.149 1
S2 S 0.675 0.851 0.851 1
Br1 Br 0.216 0.784 0.401 1
Br2 Br 0.216 0.401 0.784 1
Br3 Br 0.642 0.173 0.173 1
Br4 Br 0.125 0.257 0.257 1
Br5 Br 0.875 0.743 0.743 1
Br6 Br 0.784 0.216 0.599 1
Br7 Br 0.358 0.827 0.827 1
Br8 Br 0.784 0.599 0.216 1
```

Values from the calculation:
Symmetry = C2/m, No. 12
Total magnetization = 0.00 μB per formula unit
Raw formation energy = -150.7 meV/atom
Uncorrected energy = -2.22 eV/atom
V = 474.9 Å³/cell

***

# 5
The following is a PBE calculation of crystalline Ni2HIr at its relaxed geometry, from the Alexandria database.

CIF file:
```
data_Ni2HIr
_cell_length_a 3.999
_cell_length_b 3.999
_cell_length_c 3.999
_cell_angle_alpha 60.00
_cell_angle_beta 60.00
_cell_angle_gamma 60.00
_symmetry_space_group_name_H-M 'P 1'
_symmetry_Int_Tables_number 1
loop_
_symmetry_equiv_pos_as_xyz
'x,y,z'
loop_
_atom_site_label
_atom_site_type_symbol
_atom_site_fract_x
_atom_site_fract_y
_atom_site_fract_z
_atom_site_occupancy
Ni1 Ni 0.250 0.250 0.250 1
H1 H 0.000 0.000 0.000 1
Ir1 Ir 0.500 0.500 0.500 1
Ni2 Ni 0.750 0.750 0.750 1
```

Values from the calculation:
Symmetry = Fm-3m, No. 225
Total magnetization = 1.88 μB per formula unit
Uncorrected energy = -5.20 eV/atom
V = 45.2 Å³/cell

***

# 6
The following is a PBE calculation of crystalline Ac4CdInAg2 at its relaxed geometry, from the Alexandria database.

CIF file:
```
data_Ac4CdInAg2
_cell_length_a 5.696
_cell_length_b 5.696
_cell_length_c 9.899
_cell_angle_alpha 73.28
_cell_angle_beta 73.28
_cell_angle_gamma 60.00
_symmetry_space_group_name_H-M 'P 1'
_symmetry_Int_Tables_number 1
loop_
_symmetry_equiv_pos_as_xyz
'x,y,z'
loop_
_atom_site_label
_atom_site_type_symbol
_atom_site_fract_x
_atom_site_fract_y
_atom_site_fract_z
_atom_site_occupancy
Ac1 Ac 0.624 0.624 0.128 1
Cd1 Cd 0.500 0.500 0.500 1
Ag1 Ag 0.751 0.751 0.747 1
Ac2 Ac 0.874 0.874 0.377 1
In1 In 0.000 0.000 0.000 1
Ac3 Ac 0.376 0.376 0.872 1
Ag2 Ag 0.249 0.249 0.253 1
Ac4 Ac 0.126 0.126 0.623 1
```

Values from the calculation:
Symmetry = R-3m, No. 166
Total magnetization = 0.00 μB per formula unit
Energy of formation from the pure elements = -2.4 eV/f.u.
Uncorrected energy = -3.53 eV/atom
V = 262.4 Å³/cell

***

Among the records above, which one has the highest V?
KS2Br8

***

What did the second record say?
The following is a PBE calculation of crystalline MnHPtS at its relaxed geometry, from the Alexandria database.

CIF file:
```
data_MnHPtS
_cell_length_a 5.305
_cell_length_b 2.942
_cell_length_c 7.161
_cell_angle_alpha 90.00
_cell_angle_beta 121.10
_cell_angle_gamma 90.00
_symmetry_space_group_name_H-M 'P 1'
_symmetry_Int_Tables_number 1
loop_
_symmetry_equiv_pos_as_xyz
'x,y,z'
loop_
_atom_site_label
_atom_site_type_symbol
_atom_site_fract_x
_atom_site_fract_y
_atom_site_fract_z
_atom_site_occupancy
Mn1 Mn 0.595 0.500 0.380 1
H1 H 0.351 0.500 0.773 1
Pt1 Pt 0.178 0.500 0.498 1
H2 H 0.351 0.000 0.273 1
S1 S 0.774 0.500 0.151 1
S2 S 0.774 0.000 0.651 1
Pt2 Pt 0.178 0.000 0.998 1
Mn2 Mn 0.595 0.000 0.880 1
```

Values from the calculation:
Symmetry = Cm, No. 8
Total magnetization = 1.81 μB per formula unit
Uncorrected energy = -5.71 eV/atom
V = 95.7 Å³/cell